1.
Compound: Y3PdBr
Source: Alexandria
Functional: GGA-PBE
Structure: optimized geometry

Geometry as POSCAR:
```
Y3PdBr
1.0
5.4947 0.0000 0.0000
0.0000 5.4947 0.0000
0.0000 0.0000 5.4947
Y Pd Br
3 1 1
Cartesian
0.0000 0.0000 2.7473 Y
0.0000 2.7473 0.0000 Y
2.7473 0.0000 0.0000 Y
0.0000 0.0000 0.0000 Pd
2.7473 2.7473 2.7473 Br
```

The value obtained for the calculated density is 4.5 Mg/m³. The space group is Pm-3m (221).


2.
Compound: SrZr2Pt
Source: Alexandria
Functional: GGA-PBE
Structure: optimized geometry

Geometry as POSCAR:
```
SrZr2Pt
1.0
5.6374 -1.6894 0.0000
5.6374 1.6894 0.0000
-3.5207 0.0000 5.4441
Sr Zr Pt
1 2 1
Cartesian
0.0000 0.0000 0.0000 Sr
4.9116 0.0000 3.2055 Zr
8.1624 0.0000 2.0646 Zr
-0.4699 0.0000 5.4109 Pt
```

The value obtained for the calculated density is 7.4 Mg/m³. The space group is Cm (8).


Calculated total energy readings, ordered: -5.579 -6.382 eV/atom